Record 1
A plane-wave DFT calculation with PBE was carried out for Y2ZnPt after structural relaxation.

## Properties
- formation energy (eV/atom) = -0.6523

Unit cell a=3.5794 b=4.6929 c=10.8120 alpha=90.00 beta=90.00 gamma=90.00
Space group Imm2 (No. 44)
Symmetry-distinct sites (fractional):
Y  0.0000  0.0000  0.0000 x2
Y  0.0000  0.5000  0.2181 x2
Zn  0.0000  0.0000  0.4191 x2
Pt  0.0000  0.5000  0.7261 x2


Record 2
A plane-wave DFT calculation with PBE was carried out for YZnPt3 after structural relaxation.

## Properties
- excess energy over the best structure of this formula in the dataset (kJ per mole of atoms) = 0.0
- formation energy (eV/atom) = -0.7598

Unit cell a=4.0057 b=4.0057 c=11.7288 alpha=90.00 beta=90.00 gamma=90.00
Space group I4mm (No. 107)
Symmetry-distinct sites (fractional):
Y  0.0000  0.0000  0.0000 x2
Zn  0.0000  0.0000  0.6409 x2
Pt  0.0000  0.0000  0.4346 x2
Pt  0.0000  0.5000  0.2756 x4


Record 3
A plane-wave DFT calculation with PBE was carried out for YZn2Pt after structural relaxation.

## Properties
- formation energy (eV/atom) = -0.5231

Unit cell a=4.0208 b=4.0208 c=4.6420 alpha=90.00 beta=90.00 gamma=90.00
Space group P4/mmm (No. 123)
Symmetry-distinct sites (fractional):
Y  0.0000  0.0000  0.0000 x1
Zn  0.0000  0.5000  0.5000 x2
Pt  0.5000  0.5000  0.0000 x1


Record 4
A plane-wave DFT calculation with PBE was carried out for YZnPt3 after structural relaxation.

## Properties
- excess energy over the best structure of this formula in the dataset (kJ per mole of atoms) = 161.7
- formation energy (eV/atom) = 0.9161

Unit cell a=5.1045 b=5.1045 c=5.1045 alpha=90.00 beta=90.00 gamma=90.00
Space group Pm-3m (No. 221)
Symmetry-distinct sites (fractional):
Y  0.0000  0.0000  0.0000 x1
Zn  0.5000  0.5000  0.5000 x1
Pt  0.0000  0.0000  0.5000 x3


Q: Which value of formation energy does entry 3 give?
A: -0.5231 eV/atom


Q: Which value of formation energy does entry 1 give?
A: -0.6523 eV/atom